(1)
Material: PmCuAg2O4
Method: DFT, PBE
State: relaxed

Results
Its raw total energy is -43.0 eV for the cell shown. As for the crystal system: tetragonal. The value obtained for the spin magnetization is 0.416 μB/cell. For the formation energy from raw total energies, the calculation gives -1071 meV per atom. The calculation puts the density of states at the Fermi level at 4.748 states/eV/cell. The density is 7.3 Mg/m³.

abc: 5.9917 5.2394 5.2394
angles: 72.06 55.12 55.12
With the nearest neighbours (Å) after each atom.
Atoms (fractional coordinates):
Pm 0.0000 0.0000 0.0000  4 O 2.34
Cu 0.0000 0.5000 0.5000  4 O 2.02
Ag 0.5000 0.7500 0.2500  4 O 2.21
Ag 0.5000 0.2500 0.7500  4 O 2.21
O 0.6373 0.4676 0.8951  1 Cu 2.02, 2 Ag 2.21
O 0.3627 0.1049 0.5324  1 Cu 2.02, 2 Ag 2.21
O 0.0000 0.5324 0.1049  1 Cu 2.02, 2 Ag 2.21
O 0.0000 0.8951 0.4676  1 Cu 2.02, 2 Ag 2.21

(2)
Material: Pm2CuAgO5
Method: DFT, PBE
State: relaxed

Results
Its raw total energy is -117.7 eV for the cell shown. As for the crystal system: tetragonal. The value obtained for the spin magnetization is 0.000 μB/cell. For the formation energy from raw total energies, the calculation gives -1958 meV per atom. The density is 7.2 Mg/m³.

abc: 5.5200 6.7491 6.7491
angles: 90.00 90.00 90.00
With the nearest neighbours (Å) after each atom.
Atoms (fractional coordinates):
Pm 0.5000 0.6770 0.1770  8 O 2.32-2.53
Pm 0.5000 0.1770 0.3230  8 O 2.32-2.53
Pm 0.5000 0.8230 0.6770  8 O 2.32-2.53
Pm 0.5000 0.3230 0.8230  8 O 2.32-2.53
Cu 0.0000 0.0000 0.5000  4 O 1.83
Cu 0.0000 0.5000 0.0000  4 O 1.83
Ag 0.0000 0.5000 0.5000  10 O 2.76-2.97
Ag 0.0000 0.0000 0.0000  10 O 2.76-2.97
O 0.5000 0.5000 0.5000  4 Pm 2.49, 2 Ag 2.76
O 0.5000 0.0000 0.0000  4 Pm 2.49, 2 Ag 2.76
O 0.2440 0.1298 0.6298  1 Cu 1.83
O 0.2440 0.8702 0.3702  1 Cu 1.83
O 0.2440 0.3702 0.1298  1 Cu 1.83
O 0.2440 0.6298 0.8702  1 Cu 1.83
O 0.7560 0.1298 0.6298  1 Cu 1.83
O 0.7560 0.6298 0.8702  1 Cu 1.83
O 0.7560 0.8702 0.3702  1 Cu 1.83
O 0.7560 0.3702 0.1298  1 Cu 1.83

(3)
Material: Pm2Cu2AgO6
Method: DFT, PBE
State: relaxed

Results
Its raw total energy is -65.2 eV for the cell shown. As for the crystal system: trigonal. The value obtained for the spin magnetization is 0.000 μB/cell. For the formation energy from raw total energies, the calculation gives -1355 meV per atom. The calculation puts the density of states at the Fermi level at 7.176 states/eV/cell. The density is 6.5 Mg/m³.

abc: 5.8271 5.8271 6.3917
angles: 62.88 62.88 60.00
With the nearest neighbours (Å) after each atom.
Atoms (fractional coordinates):
Pm 0.7962 0.7962 0.6115  3 O 2.30
Pm 0.2038 0.2038 0.3885  3 O 2.30
Cu 0.4210 0.4210 0.7369  3 O 1.85
Cu 0.5790 0.5790 0.2631  3 O 1.85
Ag 0.0000 0.0000 0.0000  6 O 2.20
O 0.7519 0.7519 0.2932  1 Cu 1.85
O 0.2031 0.7519 0.2932  1 Cu 1.85
O 0.7519 0.2031 0.2932  1 Cu 1.85
O 0.2481 0.7969 0.7068  1 Cu 1.85
O 0.7969 0.2481 0.7068  1 Cu 1.85
O 0.2481 0.2481 0.7068  1 Cu 1.85

(4)
Material: Pr2CuAgO5
Method: DFT, PBE
State: relaxed

Results
Its raw total energy is -116.9 eV for the cell shown. As for the crystal system: tetragonal. The value obtained for the spin magnetization is 0.000 μB/cell. For the formation energy from raw total energies, the calculation gives -1908 meV per atom. The density is 6.8 Mg/m³.

abc: 5.5439 6.8754 6.8754
angles: 90.00 90.00 90.00
With the nearest neighbours (Å) after each atom.
Atoms (fractional coordinates):
Pr 0.5000 0.6777 0.1777  8 O 2.37-2.57
Pr 0.5000 0.1777 0.3223  8 O 2.37-2.57
Pr 0.5000 0.8223 0.6777  8 O 2.37-2.57
Pr 0.5000 0.3223 0.8223  8 O 2.37-2.57
Cu 0.0000 0.0000 0.5000  4 O 1.83
Cu 0.0000 0.5000 0.0000  4 O 1.83
Ag 0.0000 0.5000 0.5000  10 O 2.77-3.02
Ag 0.0000 0.0000 0.0000  10 O 2.77-3.02
O 0.5000 0.5000 0.5000  4 Pr 2.53, 2 Ag 2.77
O 0.5000 0.0000 0.0000  4 Pr 2.53, 2 Ag 2.77
O 0.2416 0.1285 0.6285  1 Cu 1.83
O 0.2416 0.8715 0.3715  1 Cu 1.83
O 0.2416 0.3715 0.1285  1 Cu 1.83
O 0.2416 0.6285 0.8715  1 Cu 1.83
O 0.7584 0.1285 0.6285  1 Cu 1.83
O 0.7584 0.6285 0.8715  1 Cu 1.83
O 0.7584 0.8715 0.3715  1 Cu 1.83
O 0.7584 0.3715 0.1285  1 Cu 1.83

(5)
Material: CuAg2Pt2O6
Method: DFT, PBE
State: relaxed

Results
Its raw total energy is -55.3 eV for the cell shown. As for the crystal system: monoclinic. The value obtained for the spin magnetization is 1.018 μB/cell. For the formation energy from raw total energies, the calculation gives -329 meV per atom. The calculation puts the density of states at the Fermi level at 2.494 states/eV/cell. The density is 8.5 Mg/m³.

abc: 5.4263 5.4263 6.3083
angles: 100.32 100.32 120.60
With the nearest neighbours (Å) after each atom.
Atoms (fractional coordinates):
Cu 0.0000 0.0000 0.5000  6 O 1.98-2.20
Ag 0.8283 0.1717 0.0000  4 O 2.42-2.61
Ag 0.1717 0.8283 0.0000  4 O 2.42-2.61
Pt 0.3344 0.6656 0.5000  6 O 2.04-2.08
Pt 0.6656 0.3344 0.5000  6 O 2.04-2.08
O 0.7510 0.7510 0.6672  1 Cu 1.98, 2 Pt 2.08
O 0.0707 0.4287 0.6819  2 Pt 2.04-2.06, 1 Cu 2.20
O 0.2490 0.2490 0.3328  1 Cu 1.98, 2 Pt 2.08
O 0.4287 0.0707 0.6819  2 Pt 2.04-2.06, 1 Cu 2.20
O 0.9293 0.5713 0.3181  2 Pt 2.04-2.06, 1 Cu 2.20
O 0.5713 0.9293 0.3181  2 Pt 2.04-2.06, 1 Cu 2.20

(6)
Material: CuAg2PtO4
Method: DFT, PBE
State: relaxed

Results
Its raw total energy is -37.6 eV for the cell shown. As for the crystal system: orthorhombic. The value obtained for the spin magnetization is 1.631 μB/cell. For the formation energy from raw total energies, the calculation gives -242 meV per atom. The calculation puts the density of states at the Fermi level at 4.252 states/eV/cell. The density is 7.2 Mg/m³.

abc: 6.3635 5.4676 5.4676
angles: 65.28 54.41 54.41
With the nearest neighbours (Å) after each atom.
Atoms (fractional coordinates):
Cu 0.5000 0.5000 0.5000  4 O 1.89
Ag 0.0000 0.2501 0.7499  2 O 2.08
Ag 0.0000 0.7499 0.2501  2 O 2.08
Pt 0.5000 0.0000 0.0000  4 O 1.97
O 0.3130 0.9278 0.4462  1 Cu 1.89, 1 Pt 1.97, 1 Ag 2.08
O 0.6870 0.5538 0.0722  1 Cu 1.89, 1 Pt 1.97, 1 Ag 2.08
O 0.3130 0.4462 0.9278  1 Cu 1.89, 1 Pt 1.97, 1 Ag 2.08
O 0.6870 0.0722 0.5538  1 Cu 1.89, 1 Pt 1.97, 1 Ag 2.08

(7)
Material: PuCuAgO5
Method: DFT, PBE
State: relaxed

Results
Its raw total energy is -114.0 eV for the cell shown. As for the crystal system: monoclinic. The value obtained for the spin magnetization is 1.201 μB/cell. For the formation energy from raw total energies, the calculation gives -1363 meV per atom. The calculation puts the density of states at the Fermi level at 14.806 states/eV/cell. The density is 7.0 Mg/m³.

abc: 5.9708 5.9708 7.9770
angles: 105.80 105.80 109.83
With the nearest neighbours (Å) after each atom.
Atoms (fractional coordinates):
Pu 0.0000 0.0000 0.5000  4 O 1.92-2.07
Pu 0.0000 0.0000 0.0000  4 O 1.92-2.07
Cu 0.7095 0.2905 0.2500  4 O 1.92-1.95
Cu 0.2905 0.7095 0.7500  4 O 1.92-1.95
Ag 0.3193 0.6807 0.2500  3 O 2.15-2.28
Ag 0.6807 0.3193 0.7500  3 O 2.15-2.28
O 0.0861 0.9139 0.2500  2 Pu 2.16, 1 Ag 2.28
O 0.9139 0.0861 0.7500  2 Pu 2.16, 1 Ag 2.28
O 0.9721 0.3244 0.1499  1 Cu 1.92, 1 Pu 2.07
O 0.0279 0.6756 0.8501  1 Cu 1.92, 1 Pu 2.07
O 0.6756 0.0279 0.3501  1 Cu 1.92, 1 Pu 2.07
O 0.3244 0.9721 0.6499  1 Cu 1.92, 1 Pu 2.07
O 0.7864 0.6363 0.4207  1 Pu 1.92, 1 Cu 1.95
O 0.2136 0.3637 0.5793  1 Pu 1.92, 1 Cu 1.95
O 0.3637 0.2136 0.0793  1 Pu 1.92, 1 Cu 1.95
O 0.6363 0.7864 0.9207  1 Pu 1.92, 1 Cu 1.95

(8)
Material: PuCuAg2O8
Method: DFT, PBE
State: relaxed

Results
Its raw total energy is -71.2 eV for the cell shown. As for the crystal system: tetragonal. The value obtained for the spin magnetization is 0.000 μB/cell. For the formation energy from raw total energies, the calculation gives -613 meV per atom. The calculation puts the density of states at the Fermi level at 6.321 states/eV/cell. The density is 7.0 Mg/m³.

abc: 5.9183 5.9183 5.9183
angles: 115.50 115.50 97.98
With the nearest neighbours (Å) after each atom.
Atoms (fractional coordinates):
Pu 0.2500 0.7500 0.5000  4 O 1.88
Cu 0.0000 0.0000 0.0000  4 O 1.93
Ag 0.7500 0.2500 0.5000  4 O 2.14
Ag 0.5000 0.5000 0.0000  4 O 2.18
O 0.3297 0.0263 0.3034  1 Cu 1.93, 1 Ag 2.14
O 0.2741 0.4785 0.2044  1 Pu 1.88
O 0.2741 0.0697 0.7956  1 Pu 1.88
O 0.7229 0.0263 0.6966  1 Cu 1.93, 1 Ag 2.14
O 0.9303 0.7259 0.2044  1 Pu 1.88
O 0.9737 0.2771 0.3034  1 Cu 1.93, 1 Ag 2.14
O 0.9737 0.6703 0.6966  1 Cu 1.93, 1 Ag 2.14
O 0.5215 0.7259 0.7956  1 Pu 1.88

(9)
Material: PuCu2AgO8
Method: DFT, PBE
State: relaxed

Results
Its raw total energy is -73.8 eV for the cell shown. As for the crystal system: tetragonal. The value obtained for the spin magnetization is 0.000 μB/cell. For the formation energy from raw total energies, the calculation gives -732 meV per atom. The calculation puts the density of states at the Fermi level at 10.181 states/eV/cell. The density is 6.7 Mg/m³.

abc: 5.8097 5.8097 5.8097
angles: 111.19 111.19 106.08
With the nearest neighbours (Å) after each atom.
Atoms (fractional coordinates):
Pu 0.2500 0.7500 0.5000  4 O 1.96
Cu 0.7500 0.2500 0.5000  4 O 1.84
Cu 0.5000 0.5000 0.0000  4 O 1.92
Ag 0.0000 0.0000 0.0000  4 O 2.16
O 0.3690 0.0430 0.3260  1 Cu 1.84
O 0.3066 0.5136 0.2071  1 Cu 1.92, 1 Pu 1.96
O 0.3066 0.0995 0.7929  1 Cu 1.92, 1 Pu 1.96
O 0.7170 0.0430 0.6740  1 Cu 1.84
O 0.9005 0.6934 0.2071  1 Cu 1.92, 1 Pu 1.96
O 0.9570 0.2830 0.3260  1 Cu 1.84
O 0.9570 0.6310 0.6740  1 Cu 1.84
O 0.4864 0.6934 0.7929  1 Cu 1.92, 1 Pu 1.96

(10)
Material: Rb2CuAgO
Method: DFT, PBE
State: relaxed

Results
Its raw total energy is -16.0 eV for the cell shown. As for the crystal system: tetragonal. The value obtained for the spin magnetization is 0.000 μB/cell. For the formation energy from raw total energies, the calculation gives -439 meV per atom. The calculation puts the density of states at the Fermi level at 0.199 states/eV/cell. The density is 4.3 Mg/m³.

abc: 6.1358 6.1358 3.6628
angles: 90.00 90.00 90.00
With the nearest neighbours (Å) after each atom.
Atoms (fractional coordinates):
O 0.0000 0.0000 0.0000  2 Cu 1.83
Cu 0.0000 0.0000 0.5000  2 O 1.83
Rb 0.0000 0.5000 0.0000  2 O 3.07
Rb 0.5000 0.0000 0.0000  2 O 3.07
Ag 0.5000 0.5000 0.5000  8 Rb 3.57, 2 Ag 3.66